Version 1
First-principles (PBE) data for crystalline Na5B6C4 at its relaxed geometry, as listed in the Alexandria database.

Cell lengths 11.3924, 11.3924, 9.8494 Å; angles 107.83, 107.83, 14.29 degrees
Last column: nearest neighbours and their distance in Å.
Fractional positions:
Na1 0.3998 0.3998 0.7991  7 B 2.64-2.73, 5 C 2.68-2.71, 6 Na 2.83-2.88
Na2 0.5003 0.5003 0.4976  9 B 2.67-2.77, 3 C 2.72-2.75, 6 Na 2.83-2.89
Na3 0.2002 0.2002 0.4009  7 B 2.64-2.73, 5 C 2.68-2.71, 6 Na 2.83-2.88
Na4 0.3000 0.3000 0.1000  6 B 2.64-2.68, 6 C 2.65-2.68, 6 Na 2.83-2.86
Na5 0.0007 0.0007 0.9983  8 B 2.62-2.77, 4 C 2.67-2.76, 6 Na 2.83-2.88
Na6 0.0997 0.0997 0.7024  9 B 2.67-2.77, 3 C 2.72-2.75, 6 Na 2.83-2.89
Na7 0.8000 0.8000 0.6000  6 C 2.65-2.69, 6 B 2.67-2.69, 6 Na 2.83-2.87
Na8 0.8995 0.8995 0.2980  6 B 2.61-2.70, 6 C 2.65-2.70, 6 Na 2.83-2.88
Na9 0.5993 0.5993 0.2017  8 B 2.62-2.77, 4 C 2.67-2.76, 6 Na 2.83-2.88
Na10 0.7005 0.7005 0.9020  6 B 2.61-2.70, 6 C 2.65-2.70, 6 Na 2.83-2.88
B1 0.0825 0.0825 0.4132  3 B 1.74-1.79
B2 0.0107 0.0107 0.2707  2 C 1.62, 1 B 1.79
B3 0.9776 0.9776 0.7058  1 C 1.61, 2 B 1.74
B4 0.8161 0.8161 0.8827  3 C 1.63
B5 0.7839 0.7839 0.3173  3 C 1.63
B6 0.5175 0.5175 0.7868  3 B 1.74-1.79
B7 0.6224 0.6224 0.4942  1 C 1.61, 2 B 1.74
B8 0.5893 0.5893 0.9293  2 C 1.62, 1 B 1.79
B9 0.4131 0.4131 0.0763  3 C 1.62-1.65
B10 0.3812 0.3812 0.5115  3 C 1.63
B11 0.2188 0.2188 0.6885  3 C 1.63
B12 0.1869 0.1869 0.1237  3 C 1.62-1.65
C1 0.9134 0.9134 0.5762  3 B 1.61-1.63
C2 0.7189 0.7189 0.1860  3 B 1.62-1.63
C3 0.8811 0.8811 0.0140  3 B 1.62-1.63
C4 0.6866 0.6866 0.6238  3 B 1.61-1.63
C5 0.3159 0.3159 0.3815  3 B 1.63
C6 0.4791 0.4791 0.2075  3 B 1.62-1.65
C7 0.1209 0.1209 0.9925  3 B 1.62-1.65
C8 0.2841 0.2841 0.8185  3 B 1.63

=====

Version 2
First-principles (PBE) data for crystalline Na5B6C4 at its relaxed geometry, as listed in the Alexandria database.

Cell lengths 2.8553, 2.8553, 42.3783 Å; angles 90.00, 90.00, 120.00 degrees
Last column: nearest neighbours and their distance in Å.
Fractional positions:
Na1 0.0000 0.0000 0.9971  9 B 2.69-2.72, 3 C 2.69, 6 Na 2.86
Na2 0.0000 0.0000 0.1000  12 B 2.74, 6 Na 2.86
Na3 0.0000 0.0000 0.2029  9 B 2.69-2.72, 3 C 2.69, 6 Na 2.86
Na4 0.0000 0.0000 0.3025  6 C 2.67, 6 B 2.67, 6 Na 2.86
Na5 0.0000 0.0000 0.4017  6 C 2.67, 6 B 2.67, 6 Na 2.86
Na6 0.0000 0.0000 0.5009  6 C 2.67, 6 B 2.67, 6 Na 2.86
Na7 0.0000 0.0000 0.6000  6 C 2.67, 6 B 2.67, 6 Na 2.86
Na8 0.0000 0.0000 0.6991  6 C 2.67, 6 B 2.67, 6 Na 2.86
Na9 0.0000 0.0000 0.7983  6 C 2.67, 6 B 2.67, 6 Na 2.86
Na10 0.0000 0.0000 0.8975  6 C 2.67, 6 B 2.67, 6 Na 2.86
C1 0.3333 0.6667 0.2531  3 B 1.65
C2 0.6667 0.3333 0.3522  3 B 1.65
C3 0.3333 0.6667 0.4513  3 B 1.65
C4 0.6667 0.3333 0.5505  3 B 1.65
C5 0.3333 0.6667 0.6495  3 B 1.65
C6 0.6667 0.3333 0.7487  3 B 1.65
C7 0.3333 0.6667 0.8478  3 B 1.65
C8 0.6667 0.3333 0.9469  3 B 1.65
B1 0.3333 0.6667 0.0483  3 B 1.65
B2 0.6667 0.3333 0.1517  3 B 1.65
B3 0.3333 0.6667 0.1517  3 B 1.65
B4 0.6667 0.3333 0.0483  3 B 1.65
B5 0.3333 0.6667 0.3522  3 C 1.65
B6 0.6667 0.3333 0.2530  3 C 1.65
B7 0.3333 0.6667 0.5504  3 C 1.65
B8 0.6667 0.3333 0.4513  3 C 1.65
B9 0.3333 0.6667 0.7487  3 C 1.65
B10 0.6667 0.3333 0.6496  3 C 1.65
B11 0.3333 0.6667 0.9470  3 C 1.65
B12 0.6667 0.3333 0.8478  3 C 1.65

=====

Version 3
First-principles (PBE) data for crystalline Na5B6C4 at its relaxed geometry, as listed in the Alexandria database.

Cell lengths 7.5808, 7.5812, 10.2338 Å; angles 121.97, 122.00, 38.14 degrees
Last column: nearest neighbours and their distance in Å.
Fractional positions:
Na1 0.0007 0.0009 0.0002  6 B 2.64-2.70, 6 C 2.67-2.68, 6 Na 2.86-2.87
Na2 0.7999 0.7993 0.4983  7 B 2.65-2.70, 5 C 2.67-2.71, 6 Na 2.86-2.87
Na3 0.2000 0.2000 0.0000  8 B 2.64-2.73, 4 C 2.69-2.70, 6 Na 2.86
Na4 0.9991 0.0011 0.5000  8 B 2.63-2.73, 4 C 2.68-2.72, 6 Na 2.85-2.87
Na5 0.3993 0.3991 0.9998  6 B 2.64-2.70, 6 C 2.67-2.68, 6 Na 2.86-2.87
Na6 0.2000 0.2000 0.5000  6 B 2.64-2.69, 6 C 2.67-2.68, 6 Na 2.86-2.87
Na7 0.5999 0.6000 0.0002  8 B 2.68-2.72, 4 C 2.69-2.71, 6 Na 2.86-2.87
Na8 0.4009 0.3989 0.5000  8 B 2.63-2.73, 4 C 2.68-2.72, 6 Na 2.85-2.87
Na9 0.8001 0.8000 0.9998  8 B 2.68-2.72, 4 C 2.69-2.71, 6 Na 2.86-2.87
Na10 0.6001 0.6007 0.5017  7 B 2.65-2.70, 5 C 2.67-2.71, 6 Na 2.86-2.87
B1 0.9682 0.6322 0.2502  3 B 1.73-1.74
B2 0.0307 0.3586 0.2504  2 C 1.62-1.64, 1 B 1.73
B3 0.1584 0.8305 0.7503  2 C 1.61-1.64, 1 B 1.73
B4 0.4318 0.7678 0.7498  3 B 1.73-1.74
B5 0.2416 0.5695 0.2497  2 C 1.61-1.64, 1 B 1.73
B6 0.3693 0.0414 0.7496  2 C 1.62-1.64, 1 B 1.73
B7 0.4342 0.7662 0.2500  3 C 1.61-1.67
B8 0.5663 0.2344 0.7503  3 C 1.61-1.67
B9 0.6164 0.9842 0.2503  2 C 1.63, 1 B 1.74
B10 0.7836 0.4158 0.7497  2 C 1.63, 1 B 1.74
B11 0.8337 0.1656 0.2497  3 C 1.61-1.67
B12 0.9658 0.6338 0.7500  3 C 1.61-1.67
C1 0.2264 0.5685 0.7508  3 B 1.61-1.67
C2 0.1736 0.8315 0.2492  3 B 1.61-1.67
C3 0.6316 0.9738 0.7499  3 B 1.61-1.67
C4 0.3663 0.0320 0.2507  3 B 1.63-1.64
C5 0.8318 0.1660 0.7503  3 B 1.63-1.64
C6 0.5682 0.2340 0.2497  3 B 1.63-1.64
C7 0.0337 0.3680 0.7493  3 B 1.63-1.64
C8 0.7684 0.4262 0.2501  3 B 1.61-1.67

=====

Version 4
First-principles (PBE) data for crystalline Na5B6C4 at its relaxed geometry, as listed in the Alexandria database.

Cell lengths 11.4073, 11.4073, 9.8327 Å; angles 107.83, 107.83, 14.27 degrees
Last column: nearest neighbours and their distance in Å.
Fractional positions:
Na1 0.4003 0.4003 0.8004  8 B 2.66-2.73, 4 C 2.67-2.73, 6 Na 2.83-2.87
Na2 0.5003 0.5003 0.5014  8 B 2.66-2.73, 4 C 2.67-2.73, 6 Na 2.83-2.88
Na3 0.2001 0.2001 0.4000  8 B 2.68-2.78, 4 C 2.68-2.72, 6 Na 2.83-2.88
Na4 0.2998 0.2998 0.0998  8 B 2.68-2.78, 4 C 2.68-2.70, 6 Na 2.83-2.88
Na5 0.9997 0.9997 0.0018  6 B 2.62-2.70, 6 C 2.65-2.69, 6 Na 2.83-2.87
Na6 0.1006 0.1006 0.6990  6 B 2.63-2.70, 6 C 2.66-2.68, 6 Na 2.83-2.87
Na7 0.8000 0.8000 0.6010  7 B 2.66-2.74, 5 C 2.66-2.70, 6 Na 2.83-2.88
Na8 0.9005 0.9005 0.2995  7 B 2.66-2.74, 5 C 2.68-2.70, 6 Na 2.83-2.88
Na9 0.5997 0.5997 0.2010  7 B 2.65-2.71, 5 C 2.67-2.71, 6 Na 2.83-2.87
Na10 0.7004 0.7004 0.8988  7 B 2.65-2.71, 5 C 2.67-2.71, 6 Na 2.83-2.87
B1 0.9194 0.9194 0.5887  3 B 1.71-1.74
B2 0.0161 0.0161 0.2821  3 C 1.64-1.66
B3 0.9889 0.9889 0.7286  2 C 1.61, 1 B 1.74
B4 0.7171 0.7171 0.1842  3 B 1.73
B5 0.8159 0.8159 0.8816  3 C 1.64-1.67
B6 0.7864 0.7864 0.3222  2 C 1.61, 1 B 1.73
B7 0.6158 0.6158 0.4826  3 C 1.64-1.67
B8 0.5836 0.5836 0.9172  3 C 1.61
B9 0.4161 0.4161 0.0817  3 C 1.64-1.67
B10 0.3811 0.3811 0.5119  1 C 1.60, 2 B 1.71
B11 0.2161 0.2161 0.6822  3 C 1.64-1.66
B12 0.1776 0.1776 0.1053  1 C 1.58, 2 B 1.73
C1 0.0824 0.0824 0.4163  3 B 1.64-1.66
C2 0.8828 0.8828 0.0152  3 B 1.64-1.67
C3 0.5191 0.5191 0.7891  3 B 1.61
C4 0.6826 0.6826 0.6156  3 B 1.64-1.67
C5 0.3172 0.3172 0.3841  3 B 1.60-1.61
C6 0.4830 0.4830 0.2146  3 B 1.64-1.67
C7 0.1147 0.1147 0.9790  3 B 1.58-1.61
C8 0.2827 0.2827 0.8152  3 B 1.64-1.66

=====

Of them, the most stable is version 1 and the least stable is version 3.